{
  "formula": "YMgCd",
  "functional": "PBE",
  "state": "relaxed",
  "formation_energy_ev_per_fu": -0.057,
  "rho_g_cm3": 4.4,
  "vol_a3_per_atom": 28.623,
  "lattice": [[7.003, 0.000, 0.000], [0.000, 7.003, 0.000], [0.000, 0.000, 7.003]],
  "species": ["Y", "Y", "Y", "Y", "Mg", "Mg", "Mg", "Mg", "Cd", "Cd", "Cd", "Cd"],
  "fractional_positions": [[0.000, 0.000, 0.000], [0.000, 0.500, 0.500], [0.500, 0.000, 0.500], [0.500, 0.500, 0.000], [0.000, 0.000, 0.500], [0.000, 0.500, 0.000], [0.500, 0.000, 0.000], [0.500, 0.500, 0.500], [0.250, 0.250, 0.750], [0.250, 0.750, 0.250], [0.750, 0.250, 0.250], [0.750, 0.750, 0.750]]
}